First-principles (GGA-PBEsol) data for CsLi3As after structural relaxation, as listed in the Alexandria database.

a = 5.077 Å, b = 5.077 Å, c = 5.077 Å
α = 90.00°, β = 90.00°, γ = 90.00°
Element x y z (fractional)
Cs 0.000 0.000 0.000
Li 0.000 0.500 0.500
Li 0.500 0.000 0.500
Li 0.500 0.500 0.000
As 0.500 0.500 0.500

- Calculated formation energy: -165 kJ/mol of formula units
- Spin magnetization: 0.0 Bohr magnetons per cell
- Calculated total energy: -2.73 eV per atom